# 1
VASP calculation (PBE) on Tl5Mo after structural relaxation.

Summary:
Energy relative to the elements (meV/atom): 426.9
SG: Cm (8)
E (eV/atom): -3.350
Mass density (Mg/m³): 11.2

a b c (Å): 5.687 5.687 9.983
angles (deg): 103.77 103.77 31.95
Atoms (fractional coordinates):
Tl  0.000  0.000  0.000
Tl  0.080  0.080  0.416
Tl  0.379  0.379  0.593
Tl  0.672  0.672  0.753
Tl  0.782  0.782  0.251
Mo  0.267  0.267  0.002


# 2
VASP calculation (PBE) on TlMo after structural relaxation.

Summary:
Energy relative to the elements (meV/atom): 565.9
SG: Amm2 (38)
E (eV/atom): -6.033
Mass density (Mg/m³): 10.8

a b c (Å): 3.139 7.270 7.270
angles (deg): 123.71 90.00 90.00
Atoms (fractional coordinates):
Tl  0.000  0.000  0.000
Tl  0.500  0.085  0.565
Tl  0.500  0.565  0.085
Mo  0.000  0.498  0.702
Mo  0.000  0.702  0.498
Mo  0.500  0.381  0.381


# 3
VASP calculation (PBE) on TlMo after structural relaxation.

Summary:
Energy relative to the elements (meV/atom): 464.8
SG: R-3m (166)
E (eV/atom): -6.134
Mass density (Mg/m³): 11.4

a b c (Å): 9.818 9.818 9.818
angles (deg): 19.02 19.02 19.02
Atoms (fractional coordinates):
Tl  0.117  0.117  0.117
Tl  0.883  0.883  0.883
Mo  0.362  0.362  0.362
Mo  0.638  0.638  0.638


# 4
VASP calculation (PBE) on Tl3Mo after structural relaxation.

Summary:
Energy relative to the elements (meV/atom): 682.4
SG: Imm2 (44)
E (eV/atom): -3.800
Mass density (Mg/m³): 11.8

a b c (Å): 5.875 5.875 5.875
angles (deg): 146.04 74.56 115.89
Atoms (fractional coordinates):
Tl  0.000  0.000  0.000
Tl  0.394  0.603  0.790
Tl  0.813  0.603  0.210
Mo  0.375  0.875  0.500


# 5
VASP calculation (PBE) on Tl3Mo after structural relaxation.

Summary:
Energy relative to the elements (meV/atom): 403.3
SG: Cmcm (63)
E (eV/atom): -4.079
Mass density (Mg/m³): 10.8

a b c (Å): 8.132 8.132 3.319
angles (deg): 90.00 90.00 96.60
Atoms (fractional coordinates):
Tl  0.146  0.390  0.750
Tl  0.172  0.828  0.750
Tl  0.390  0.146  0.250
Tl  0.610  0.854  0.750
Tl  0.828  0.172  0.250
Tl  0.854  0.610  0.250
Mo  0.429  0.571  0.250
Mo  0.571  0.429  0.750


# 6
VASP calculation (PBE) on Tl2Mo after structural relaxation.

Summary:
Energy relative to the elements (meV/atom): 544.9
SG: P4/mmm (123)
E (eV/atom): -4.643
Mass density (Mg/m³): 11.2

a b c (Å): 5.011 5.011 2.974
angles (deg): 90.00 90.00 90.00
Atoms (fractional coordinates):
Tl  0.000  0.500  0.000
Tl  0.500  0.000  0.000
Mo  0.000  0.000  0.500


# 7
VASP calculation (PBE) on Tl3Mo after structural relaxation.

Summary:
Energy relative to the elements (meV/atom): 551.2
SG: Pnma (62)
E (eV/atom): -3.931
Mass density (Mg/m³): 12.2

a b c (Å): 7.069 9.314 5.887
angles (deg): 90.00 90.00 90.00
Atoms (fractional coordinates):
Tl  0.019  0.250  0.145
Tl  0.186  0.039  0.610
Tl  0.186  0.461  0.610
Tl  0.314  0.539  0.110
Tl  0.314  0.961  0.110
Tl  0.481  0.750  0.645
Tl  0.519  0.250  0.355
Tl  0.686  0.039  0.890
Tl  0.686  0.461  0.890
Tl  0.814  0.539  0.390
Tl  0.814  0.961  0.390
Tl  0.981  0.750  0.855
Mo  0.141  0.750  0.379
Mo  0.359  0.250  0.879
Mo  0.641  0.750  0.121
Mo  0.859  0.250  0.621


# 8
VASP calculation (PBE) on TlMo after structural relaxation.

Summary:
Energy relative to the elements (meV/atom): 1425.9
SG: Fm-3m (225)
E (eV/atom): -5.173
Mass density (Mg/m³): 11.2

a b c (Å): 3.973 3.973 3.973
angles (deg): 60.00 60.00 60.00
Atoms (fractional coordinates):
Tl  0.000  0.000  0.000
Mo  0.500  0.500  0.500


# 9
VASP calculation (PBE) on Tl3Mo after structural relaxation.

Summary:
Energy relative to the elements (meV/atom): 593.3
SG: P-6m2 (187)
E (eV/atom): -3.889
Mass density (Mg/m³): 12.0

a b c (Å): 3.200 3.200 11.097
angles (deg): 90.00 90.00 120.00
Atoms (fractional coordinates):
Tl  0.000  0.000  0.000
Tl  0.667  0.333  0.283
Tl  0.667  0.333  0.717
Mo  0.000  0.000  0.500


# 10
VASP calculation (PBE) on TlMo3 after structural relaxation.

Summary:
Energy relative to the elements (meV/atom): 644.3
SG: Fm-3m (225)
E (eV/atom): -8.071
Mass density (Mg/m³): 11.8

a b c (Å): 4.610 4.610 4.610
angles (deg): 60.00 60.00 60.00
Atoms (fractional coordinates):
Tl  0.000  0.000  0.000
Mo  0.250  0.250  0.250
Mo  0.500  0.500  0.500
Mo  0.750  0.750  0.750


# 11
VASP calculation (PBE) on Tl3Mo after structural relaxation.

Summary:
Energy relative to the elements (meV/atom): 552.3
SG: Immm (71)
E (eV/atom): -3.930
Mass density (Mg/m³): 11.0

a b c (Å): 7.765 7.765 7.765
angles (deg): 157.62 142.95 43.71
Atoms (fractional coordinates):
Tl  0.000  0.000  0.000
Tl  0.320  0.820  0.500
Tl  0.680  0.180  0.500
Mo  0.500  0.500  0.000


# 12
VASP calculation (PBE) on TlMo3 after structural relaxation.

Summary:
Energy relative to the elements (meV/atom): 821.3
SG: Cmcm (63)
E (eV/atom): -7.894
Mass density (Mg/m³): 10.8

a b c (Å): 8.841 8.841 3.101
angles (deg): 90.00 90.00 141.31
Atoms (fractional coordinates):
Tl  0.079  0.921  0.750
Tl  0.921  0.079  0.250
Mo  0.105  0.480  0.750
Mo  0.433  0.567  0.250
Mo  0.480  0.105  0.250
Mo  0.520  0.895  0.750
Mo  0.567  0.433  0.750
Mo  0.895  0.520  0.250